VASP calculation (PBE) on LuHg after structural relaxation.

total moment	0.01	μB per atom
space group	Fm-3m (225)
calculated formation energy	-0.207	eV/atom
theoretical density	11.51	g cm⁻³

Structure (POSCAR):
```
LuHg
1.0
0.0000 3.0031 3.0031
3.0031 0.0000 3.0031
3.0031 3.0031 0.0000
Lu Hg
1 1
direct
0.0000 0.0000 0.0000 Lu
0.5000 0.5000 0.5000 Hg
```

=====

VASP calculation (PBE) on LiLuNO after structural relaxation.

excess energy over the best structure of this formula in the dataset	0.176	eV per atom
total moment	0.25	μB per atom
space group	P4/nmm (129)
theoretical density	7.68	g cm⁻³

Structure (POSCAR):
```
LiLuNO
1.0
3.6029 0.0000 0.0000
0.0000 3.6029 0.0000
0.0000 0.0000 7.0582
Li Lu N O
2 2 2 2
direct
0.2500 0.7500 0.0000 Li
0.7500 0.2500 0.0000 Li
0.2500 0.2500 0.3385 Lu
0.7500 0.7500 0.6615 Lu
0.2500 0.2500 0.8619 N
0.7500 0.7500 0.1381 N
0.2500 0.7500 0.5000 O
0.7500 0.2500 0.5000 O
```

=====

Question: Which value of theoretical density does entry 1 give?
Answer: 11.51 g cm⁻³

=====

Copy entry 2 word for word.
VASP calculation (PBE) on LiLuNO after structural relaxation.

excess energy over the best structure of this formula in the dataset	0.176	eV per atom
total moment	0.25	μB per atom
space group	P4/nmm (129)
theoretical density	7.68	g cm⁻³

Structure (POSCAR):
```
LiLuNO
1.0
3.6029 0.0000 0.0000
0.0000 3.6029 0.0000
0.0000 0.0000 7.0582
Li Lu N O
2 2 2 2
direct
0.2500 0.7500 0.0000 Li
0.7500 0.2500 0.0000 Li
0.2500 0.2500 0.3385 Lu
0.7500 0.7500 0.6615 Lu
0.2500 0.2500 0.8619 N
0.7500 0.7500 0.1381 N
0.2500 0.7500 0.5000 O
0.7500 0.2500 0.5000 O
```

=====

Question: Among the records above, which one has the highest total moment?
Answer: LiLuNO

=====

Question: Look up the theoretical density of the second one.
Answer: 7.68 g cm⁻³